This record from Alexandria describes a relaxed structure of ZrFe2As2. The functional is GGA-PBE.

CIF file:
```
data_ZrFe2As2
_space_group_name_H-M_alt 'P 4/m b m'
_space_group_IT_number 127
_space_group_name_Hall '-P 4 2ab'
_cell_length_a 7.122
_cell_length_b 7.122
_cell_length_c 2.849
_cell_angle_alpha 90.00
_cell_angle_beta 90.00
_cell_angle_gamma 90.00
loop_
_atom_site_label
_atom_site_type_symbol
_atom_site_fract_x
_atom_site_fract_y
_atom_site_fract_z
_atom_site_occupancy
Zr1 Zr 0.000 0.000 0.000 1
Fe1 Fe 0.136 0.364 0.500 1
As1 As 0.149 0.649 0.000 1
```



This record from Alexandria describes a relaxed structure of Tb8Ho6Er. The functional is GGA-PBE.

CIF file:
```
data_Tb8Ho6Er
_space_group_name_H-M_alt 'P -3'
_space_group_IT_number 147
_cell_length_a 9.7891
_cell_length_b 9.7891
_cell_length_c 5.7749
_cell_angle_alpha 90.00
_cell_angle_beta 90.00
_cell_angle_gamma 120.00
loop_
_space_group_symop_operation_xyz
'x,y,z'
'-x,-y,-z'
'-y,x-y,z'
'y,-x+y,-z'
'-x+y,-x,z'
'x-y,x,-z'
loop_
_atom_site_label
_atom_site_type_symbol
_atom_site_fract_x
_atom_site_fract_y
_atom_site_fract_z
_atom_site_occupancy
Tb1 Tb 0.0911 0.4670 0.2352 1
Tb2 Tb 0.3333 0.6667 0.7252 1
Ho1 Ho 0.0503 0.2738 0.7225 1
Er1 Er 0.0000 0.0000 0.0000 1
```



This record from Alexandria describes a relaxed structure of AcLaY2Tm. The functional is GGA-PBE.

CIF file:
```
data_AcLaY2Tm
_space_group_name_H-M_alt 'P 1 21/m 1'
_space_group_IT_number 11
_cell_length_a 6.443
_cell_length_b 5.870
_cell_length_c 9.910
_cell_angle_alpha 90.00
_cell_angle_beta 108.88
_cell_angle_gamma 90.00
loop_
_space_group_symop_operation_xyz
'x,y,z'
'-x,-y,-z'
'-x,y+1/2,-z'
'x,-y+1/2,z'
loop_
_atom_site_label
_atom_site_type_symbol
_atom_site_fract_x
_atom_site_fract_y
_atom_site_fract_z
_atom_site_occupancy
Ac1 Ac 0.138 0.250 0.110 1
La1 La 0.483 0.750 0.109 1
Y1 Y 0.257 0.750 0.690 1
Y2 Y 0.335 0.250 0.504 1
Tm1 Tm 0.071 0.750 0.314 1
```



This record from Alexandria describes a relaxed structure of LuHfBe2. The functional is GGA-PBE.

CIF file:
```
data_LuHfBe2
_space_group_name_H-M_alt 'P 4/m m m'
_space_group_IT_number 123
_space_group_name_Hall '-P 4 2'
_cell_length_a 3.220
_cell_length_b 3.220
_cell_length_c 6.431
_cell_angle_alpha 90.00
_cell_angle_beta 90.00
_cell_angle_gamma 90.00
loop_
_atom_site_label
_atom_site_type_symbol
_atom_site_fract_x
_atom_site_fract_y
_atom_site_fract_z
_atom_site_occupancy
Lu1 Lu 0.000 0.000 0.000 1
Hf1 Hf 0.000 0.000 0.500 1
Be1 Be 0.500 0.500 0.277 1
```



This record from Alexandria describes a relaxed structure of HfAlPd. The functional is GGA-PBE.

CIF file:
```
data_HfAlPd
_space_group_name_H-M_alt 'A m m 2'
_space_group_IT_number 38
_cell_length_a 8.411
_cell_length_b 5.346
_cell_length_c 9.128
_cell_angle_alpha 90.00
_cell_angle_beta 90.00
_cell_angle_gamma 90.00
loop_
_space_group_symop_operation_xyz
'x,y,z'
'-x,-y,z'
'-x,y,z'
'x,-y,z'
'x,y+1/2,z+1/2'
'-x,-y+1/2,z+1/2'
'-x,y+1/2,z+1/2'
'x,-y+1/2,z+1/2'
loop_
_atom_site_label
_atom_site_type_symbol
_atom_site_fract_x
_atom_site_fract_y
_atom_site_fract_z
_atom_site_occupancy
Hf1 Hf 0.183 0.000 0.000 1
Hf2 Hf 0.301 0.000 0.332 1
Al1 Al 0.246 0.000 0.668 1
Al2 Al 0.500 0.241 0.075 1
Pd1 Pd 0.000 0.000 0.496 1
Pd2 Pd 0.000 0.247 0.248 1
Pd3 Pd 0.500 0.000 0.831 1
```



This record from Alexandria describes a relaxed structure of Cd2As3. The functional is GGA-PBE.

CIF file:
```
data_Cd2As3
_space_group_name_H-M_alt 'P -3 m 1'
_space_group_IT_number 164
_space_group_name_Hall '-P 3 2"'
_cell_length_a 4.2968
_cell_length_b 4.2968
_cell_length_c 8.6247
_cell_angle_alpha 90.00
_cell_angle_beta 90.00
_cell_angle_gamma 120.00
loop_
_atom_site_label
_atom_site_type_symbol
_atom_site_fract_x
_atom_site_fract_y
_atom_site_fract_z
_atom_site_occupancy
Cd1 Cd 0.3333 0.6667 0.3539 1
As1 As 0.0000 0.0000 0.5000 1
As2 As 0.3333 0.6667 0.0419 1
```



| no. | total energy (eV for the cell shown) |
| --- | --- |
| 1 | -71.0 |
| 2 | -66.5 |
| 3 | -52.4 |
| 4 | -22.0 |
| 5 | -166.8 |
| 6 | -15.5 |